The following is a PBE calculation of a geometry-optimized Tb2InO structure, from the Alexandria database.

POSCAR file:
```
Tb2InO
1.0
1.7832 1.0295 7.7223
-1.7832 1.0295 7.7223
0.0000 -2.0590 7.7223
Tb In O
2 1 1
direct
0.2238 0.2238 0.2238 Tb
0.7762 0.7762 0.7762 Tb
0.0000 0.0000 0.0000 In
0.5000 0.5000 0.5000 O
```

Summary:
- Formation energy (no corrections): -154.0 kJ/mol of atoms
- Offset from the most stable computed form: 40 meV per atom
- DOS(E_F): 0.3610 states/eV per atom
- ρ: 8.76 g/cm³